The following is a PBE+U calculation of an optimized crystal structure of MnCr2CuO6, from the Alexandria database.

Calculated values
M_tot	8.0	Bohr magnetons per cell
uncorrected energy	-7.108	eV/atom
crystal system	trigonal
DOS(E_F)	3.85	states/eV/cell

Unit cell a=5.4371 b=5.4371 c=5.4371 alpha=55.45 beta=55.45 gamma=55.45
Fractional coordinates of all 10 atoms:
Mn1 0.0000 0.0000 0.0000
Cr1 0.3060 0.3060 0.3060
Cr2 0.8020 0.8020 0.8020
Cu1 0.5075 0.5075 0.5075
O1 0.0923 0.7129 0.3949
O2 0.1958 0.6037 0.9128
O3 0.3949 0.0923 0.7129
O4 0.6037 0.9128 0.1958
O5 0.7129 0.3949 0.0923
O6 0.9128 0.1958 0.6037